Pr3Y3In2: relaxed, PBE.

Calculated values
Crystal system = orthorhombic
Calculated formation energy = -0.272 eV per atom
Polymorph energy (0 for the lowest one) = 0.0 meV per atom
SG = Pmmm (47)
Size of the total moment = 0.000 μB per atom

abc: 4.8998 4.9220 10.0477
angles: 90.00 90.00 90.00
Fractional coordinates of all 8 atoms:
1 Pr 0.0000 0.0000 0.0000
2 Pr 0.0000 0.0000 0.5000
3 Pr 0.5000 0.5000 0.0000
4 Y 0.5000 0.0000 0.2518
5 Y 0.5000 0.0000 0.7482
6 Y 0.5000 0.5000 0.5000
7 In 0.0000 0.5000 0.2549
8 In 0.0000 0.5000 0.7451

=====

GaPdAuN2: relaxed, PBE.

Calculated values
Energy = -4.2660 eV per atom
Crystal system = tetragonal
SG = P4/mmm (123)
Size of the total moment = 0.000 μB per atom

abc: 3.8538 3.8538 4.9859
angles: 90.00 90.00 90.00
Fractional coordinates of all 5 atoms:
1 Ga 0.0000 0.0000 0.0000
2 Pd 0.0000 0.0000 0.5000
3 Au 0.5000 0.5000 0.5000
4 N 0.0000 0.5000 0.0000
5 N 0.5000 0.0000 0.0000

=====

Dy4Ge2Bi: relaxed, PBE.

Calculated values
Crystal system = tetragonal
Calculated formation energy = -0.647 eV per atom
SG = I4_1/amd (141)
Size of the total moment = 0.000 μB per atom

abc: 8.1678 8.1678 8.1678
angles: 109.73 109.73 108.96
Fractional coordinates of all 14 atoms:
1 Dy 0.2126 0.2818 0.5692
2 Dy 0.2126 0.6434 0.9308
3 Dy 0.2818 0.2126 0.0692
4 Dy 0.3566 0.7874 0.5692
5 Dy 0.6434 0.2126 0.4308
6 Dy 0.7182 0.7874 0.9308
7 Dy 0.7874 0.3566 0.0692
8 Dy 0.7874 0.7182 0.4308
9 Ge 0.0000 0.5000 0.5000
10 Ge 0.5000 0.0000 0.0000
11 Ge 0.5000 0.5000 0.0000
12 Ge 0.5000 0.5000 0.5000
13 Bi 0.1250 0.8750 0.2500
14 Bi 0.8750 0.1250 0.7500

=====

Rb2CeTlCl6: relaxed, PBE.

Calculated values
Energy = -4.0394 eV per atom
Crystal system = monoclinic
SG = P2_1/c (14)
Size of the total moment = 0.100 μB per atom

abc: 7.8233 8.2828 13.5705
angles: 90.00 124.22 90.00
Fractional coordinates of all 20 atoms:
1 Rb 0.2199 0.0705 0.2461
2 Rb 0.2199 0.4295 0.7461
3 Rb 0.7801 0.5705 0.2539
4 Rb 0.7801 0.9295 0.7539
5 Ce 0.5000 0.0000 0.0000
6 Ce 0.5000 0.5000 0.5000
7 Tl 0.0000 0.0000 0.5000
8 Tl 0.0000 0.5000 0.0000
9 Cl 0.1595 0.1814 0.9442
10 Cl 0.1595 0.3186 0.4442
11 Cl 0.2571 0.7234 0.9299
12 Cl 0.2571 0.7766 0.4299
13 Cl 0.3913 0.0505 0.7697
14 Cl 0.3913 0.4495 0.2697
15 Cl 0.6087 0.5505 0.7303
16 Cl 0.6087 0.9495 0.2303
17 Cl 0.7429 0.2234 0.5701
18 Cl 0.7429 0.2766 0.0701
19 Cl 0.8405 0.6814 0.5558
20 Cl 0.8405 0.8186 0.0558

=====

Sm4ErTm15: relaxed, PBE.

Calculated values
Crystal system = tetragonal
Calculated formation energy = 0.026 eV per atom
SG = P4/mmm (123)
Size of the total moment = 0.000 μB per atom

abc: 4.9748 4.9748 24.8246
angles: 90.00 90.00 90.00
Fractional coordinates of all 20 atoms:
1 Sm 0.0000 0.0000 0.1004
2 Sm 0.0000 0.0000 0.3006
3 Sm 0.0000 0.0000 0.6994
4 Sm 0.0000 0.0000 0.8996
5 Er 0.0000 0.0000 0.5000
6 Tm 0.0000 0.5000 0.0000
7 Tm 0.0000 0.5000 0.2007
8 Tm 0.0000 0.5000 0.4013
9 Tm 0.0000 0.5000 0.5987
10 Tm 0.0000 0.5000 0.7993
11 Tm 0.5000 0.0000 0.0000
12 Tm 0.5000 0.0000 0.2007
13 Tm 0.5000 0.0000 0.4013
14 Tm 0.5000 0.0000 0.5987
15 Tm 0.5000 0.0000 0.7993
16 Tm 0.5000 0.5000 0.1003
17 Tm 0.5000 0.5000 0.3010
18 Tm 0.5000 0.5000 0.5000
19 Tm 0.5000 0.5000 0.6990
20 Tm 0.5000 0.5000 0.8997

=====

Zn2AsPb: relaxed, PBE.

Calculated values
Crystal system = orthorhombic
Calculated formation energy = 0.196 eV per atom
SG = Cmmm (65)
Size of the total moment = 0.000 μB per atom

abc: 3.3891 3.3891 7.8273
angles: 90.00 90.00 106.21
Fractional coordinates of all 4 atoms:
1 Zn 0.0000 0.0000 0.2119
2 Zn 0.0000 0.0000 0.7881
3 As 0.5000 0.5000 0.0000
4 Pb 0.5000 0.5000 0.5000

=====

Question: Number 4 is which compound?
Answer: Rb2CeTlCl6

=====

Question: Which of these has the highest size of the total moment?
Answer: Rb2CeTlCl6

=====

Question: Which value of size of the total moment does entry 1 give?
Answer: 0.000 μB per atom